# 1
{"formula": "Ag3TePb", "functional": "PBE", "state": "relaxed", "lattice_angstrom": [[5.337, 0.000, 0.000], [0.000, 5.337, 0.000], [0.000, 0.000, 5.337]], "species": ["Ag", "Ag", "Ag", "Te", "Pb"], "frac_coords": [[0.000, 0.000, 0.500], [0.000, 0.500, 0.000], [0.500, 0.000, 0.000], [0.000, 0.000, 0.000], [0.500, 0.500, 0.500]]}


# 2
{"formula": "NaMn3Pd", "functional": "PBE", "state": "relaxed", "formation_energy_ev_per_atom": 1.666, "lattice_angstrom": [[4.627, 0.000, 0.000], [0.000, 4.627, 0.000], [0.000, 0.000, 4.627]], "species": ["Na", "Mn", "Mn", "Mn", "Pd"], "frac_coords": [[0.000, 0.000, 0.000], [0.000, 0.000, 0.500], [0.000, 0.500, 0.000], [0.500, 0.000, 0.000], [0.500, 0.500, 0.500]]}


# 3
{"formula": "K2PrHfSe4", "functional": "PBE", "state": "relaxed", "lattice_angstrom": [[7.204, 0.000, 0.000], [0.000, 4.108, 0.000], [-2.338, 0.000, 7.743]], "species": ["K", "K", "Pr", "Hf", "Se", "Se", "Se", "Se"], "frac_coords": [[0.000, 0.000, 0.000], [0.500, 0.500, 0.000], [0.000, 0.500, 0.500], [0.500, 0.000, 0.500], [0.262, 0.000, 0.711], [0.289, 0.500, 0.300], [0.711, 0.500, 0.700], [0.738, 0.000, 0.289]]}


# 4
{"formula": "Ba2NiSn4Ir3", "functional": "PBE", "state": "relaxed", "formation_energy_ev_per_atom": -0.393, "lattice_angstrom": [[4.721, 0.000, 0.000], [0.000, 4.721, 0.000], [0.000, 0.000, 10.698]], "species": ["Ba", "Ba", "Ni", "Sn", "Sn", "Sn", "Sn", "Ir", "Ir", "Ir"], "frac_coords": [[0.000, 0.500, 0.242], [0.500, 0.000, 0.758], [0.500, 0.500, 0.000], [0.000, 0.000, 0.500], [0.000, 0.500, 0.883], [0.500, 0.000, 0.117], [0.500, 0.500, 0.500], [0.000, 0.000, 0.000], [0.000, 0.500, 0.627], [0.500, 0.000, 0.373]]}


# 5
{"formula": "Mg6Sb7", "functional": "PBE", "state": "relaxed", "lattice_angstrom": [[3.183, 1.838, 10.137], [-3.183, 1.838, 10.137], [0.000, -3.675, 10.137]], "species": ["Mg", "Mg", "Mg", "Mg", "Mg", "Mg", "Sb", "Sb", "Sb", "Sb", "Sb", "Sb", "Sb"], "frac_coords": [[0.050, 0.050, 0.050], [0.159, 0.159, 0.159], [0.334, 0.334, 0.334], [0.666, 0.666, 0.666], [0.841, 0.841, 0.841], [0.950, 0.950, 0.950], [0.078, 0.583, 0.583], [0.417, 0.417, 0.922], [0.417, 0.922, 0.417], [0.500, 0.500, 0.500], [0.583, 0.078, 0.583], [0.583, 0.583, 0.078], [0.922, 0.417, 0.417]]}


# 6
{"formula": "FeCo4Se", "functional": "PBE", "state": "relaxed", "lattice_angstrom": [[0.000, 3.371, 3.371], [3.371, 0.000, 3.371], [3.371, 3.371, 0.000]], "species": ["Fe", "Co", "Co", "Co", "Co", "Se"], "frac_coords": [[0.000, 0.000, 0.000], [0.374, 0.374, 0.374], [0.374, 0.374, 0.877], [0.374, 0.877, 0.374], [0.877, 0.374, 0.374], [0.750, 0.750, 0.750]]}


# 7
{"formula": "Tm2AgS3", "functional": "PBE", "state": "relaxed", "lattice_angstrom": [[5.366, 0.000, 0.000], [0.000, 13.108, 0.000], [0.000, 0.000, 3.878]], "species": ["Tm", "Tm", "Tm", "Tm", "Ag", "Ag", "S", "S", "S", "S", "S", "S"], "frac_coords": [[0.000, 0.144, 0.000], [0.000, 0.856, 0.000], [0.500, 0.356, 0.000], [0.500, 0.644, 0.000], [0.000, 0.500, 0.500], [0.500, 0.000, 0.500], [0.000, 0.000, 0.500], [0.000, 0.344, 0.000], [0.000, 0.656, 0.000], [0.500, 0.156, 0.000], [0.500, 0.500, 0.500], [0.500, 0.844, 0.000]]}


# 8
{"formula": "Ba2Te2I", "functional": "PBE", "state": "relaxed", "lattice_angstrom": [[9.455, 0.000, 0.000], [0.000, 9.455, 0.000], [0.000, 0.000, 4.717]], "species": ["Ba", "Ba", "Ba", "Ba", "Te", "Te", "Te", "Te", "I", "I"], "frac_coords": [[0.171, 0.329, 0.000], [0.329, 0.829, 0.000], [0.671, 0.171, 0.000], [0.829, 0.671, 0.000], [0.121, 0.621, 0.500], [0.379, 0.121, 0.500], [0.621, 0.879, 0.500], [0.879, 0.379, 0.500], [0.000, 0.000, 0.000], [0.500, 0.500, 0.000]]}


# 9
{"formula": "Cs2ZnPbBr6", "functional": "PBE", "state": "relaxed", "lattice_angstrom": [[0.000, 5.664, 5.664], [5.664, 0.000, 5.664], [5.664, 5.664, 0.000]], "species": ["Cs", "Cs", "Zn", "Pb", "Br", "Br", "Br", "Br", "Br", "Br"], "frac_coords": [[0.250, 0.250, 0.250], [0.750, 0.750, 0.750], [0.000, 0.000, 0.000], [0.500, 0.500, 0.500], [0.235, 0.235, 0.765], [0.235, 0.765, 0.235], [0.235, 0.765, 0.765], [0.765, 0.235, 0.235], [0.765, 0.235, 0.765], [0.765, 0.765, 0.235]]}


# 10
{"formula": "CaPm3Y2S6", "functional": "PBE", "state": "relaxed", "lattice_angstrom": [[3.442, -5.965, 0.000], [3.442, 5.965, 0.000], [-2.282, 0.000, 6.563]], "species": ["Ca", "Pm", "Pm", "Pm", "Y", "Y", "S", "S", "S", "S", "S", "S"], "frac_coords": [[0.000, 0.000, 0.000], [0.165, 0.835, 0.500], [0.500, 0.500, 0.500], [0.835, 0.165, 0.500], [0.333, 0.667, 0.000], [0.667, 0.333, 0.000], [0.080, 0.415, 0.241], [0.255, 0.255, 0.763], [0.415, 0.080, 0.241], [0.585, 0.920, 0.759], [0.745, 0.745, 0.237], [0.920, 0.585, 0.759]]}


# 11
{"formula": "Cr3C", "functional": "PBE", "state": "relaxed", "formation_energy_ev_per_atom": 0.228, "lattice_angstrom": [[2.616, 0.000, 0.000], [-1.308, 2.266, 0.000], [0.000, 0.000, 6.964]], "species": ["Cr", "Cr", "Cr", "C"], "frac_coords": [[0.000, 0.000, 0.000], [0.667, 0.333, 0.311], [0.667, 0.333, 0.689], [0.000, 0.000, 0.500]]}


# 12
{"formula": "Li2Si2Ni", "functional": "PBE", "state": "relaxed", "lattice_angstrom": [[5.915, 0.000, 0.000], [0.000, 5.915, 0.000], [0.000, 0.000, 4.146]], "species": ["Li", "Li", "Li", "Li", "Si", "Si", "Si", "Si", "Ni", "Ni"], "frac_coords": [[0.169, 0.331, 0.000], [0.331, 0.831, 0.000], [0.669, 0.169, 0.000], [0.831, 0.669, 0.000], [0.140, 0.640, 0.500], [0.360, 0.140, 0.500], [0.640, 0.860, 0.500], [0.860, 0.360, 0.500], [0.000, 0.000, 0.500], [0.500, 0.500, 0.500]]}


# 13
{"formula": "KSrCo", "functional": "PBE", "state": "relaxed", "formation_energy_ev_per_atom": 0.785, "lattice_angstrom": [[4.138, 0.000, 0.000], [-2.069, 3.584, 0.000], [0.000, 0.000, 8.176]], "species": ["K", "Sr", "Co"], "frac_coords": [[0.000, 0.000, 0.000], [0.667, 0.333, 0.497], [0.333, 0.667, 0.722]]}


# 14
{"formula": "Na2PrSi2O6", "functional": "PBE", "state": "relaxed", "lattice_angstrom": [[5.683, 0.000, 0.000], [-2.842, 4.922, 0.000], [0.000, 0.000, 7.412]], "species": ["Na", "Na", "Pr", "Si", "Si", "O", "O", "O", "O", "O", "O"], "frac_coords": [[0.333, 0.667, 0.301], [0.667, 0.333, 0.699], [0.000, 0.000, 0.000], [0.333, 0.667, 0.784], [0.667, 0.333, 0.216], [0.068, 0.693, 0.811], [0.307, 0.374, 0.811], [0.374, 0.068, 0.189], [0.626, 0.932, 0.811], [0.693, 0.626, 0.189], [0.932, 0.307, 0.189]]}


# 15
{"formula": "KLa2CeSe4", "functional": "PBE", "state": "relaxed", "lattice_angstrom": [[7.551, 0.000, 0.000], [0.000, 4.322, 0.000], [-2.474, 0.000, 7.179]], "species": ["K", "La", "La", "Ce", "Se", "Se", "Se", "Se"], "frac_coords": [[0.000, 0.000, 0.000], [0.500, 0.000, 0.500], [0.500, 0.500, 0.000], [0.000, 0.500, 0.500], [0.251, 0.000, 0.743], [0.261, 0.500, 0.264], [0.739, 0.500, 0.736], [0.749, 0.000, 0.257]]}


# 16
{"formula": "KNi2Ru", "functional": "PBE", "state": "relaxed", "formation_energy_ev_per_atom": 1.157, "lattice_angstrom": [[6.372, 0.000, 0.000], [0.000, 6.372, 0.000], [0.000, 0.000, 6.372]], "species": ["K", "K", "K", "K", "Ni", "Ni", "Ni", "Ni", "Ni", "Ni", "Ni", "Ni", "Ru", "Ru", "Ru", "Ru"], "frac_coords": [[0.000, 0.000, 0.000], [0.000, 0.500, 0.500], [0.500, 0.000, 0.500], [0.500, 0.500, 0.000], [0.250, 0.250, 0.250], [0.250, 0.250, 0.750], [0.250, 0.750, 0.250], [0.250, 0.750, 0.750], [0.750, 0.250, 0.250], [0.750, 0.250, 0.750], [0.750, 0.750, 0.250], [0.750, 0.750, 0.750], [0.000, 0.000, 0.500], [0.000, 0.500, 0.000], [0.500, 0.000, 0.000], [0.500, 0.500, 0.500]]}


# 17
{"formula": "KPuAg2", "functional": "PBE", "state": "relaxed", "formation_energy_ev_per_atom": 0.126, "lattice_angstrom": [[3.572, 0.000, 0.000], [0.000, 3.572, 0.000], [0.000, 0.000, 8.811]], "species": ["K", "Pu", "Ag", "Ag"], "frac_coords": [[0.000, 0.000, 0.000], [0.000, 0.000, 0.500], [0.500, 0.500, 0.283], [0.500, 0.500, 0.717]]}


# 18
{"formula": "AlFeHg2", "functional": "PBE", "state": "relaxed", "formation_energy_ev_per_atom": 0.257, "lattice_angstrom": [[12.506, 0.000, 0.000], [0.000, 2.877, 0.000], [-1.644, 0.000, 4.323]], "species": ["Al", "Al", "Fe", "Fe", "Hg", "Hg", "Hg", "Hg"], "frac_coords": [[0.000, 0.000, 0.000], [0.500, 0.500, 0.000], [0.178, 0.500, 0.180], [0.678, 0.000, 0.180], [0.178, 0.000, 0.681], [0.387, 0.000, 0.392], [0.678, 0.500, 0.681], [0.887, 0.500, 0.392]]}


# 19
{"formula": "Y2GaCu2", "functional": "PBE", "state": "relaxed", "formation_energy_ev_per_atom": -0.159, "lattice_angstrom": [[5.484, 0.000, 0.000], [0.000, 5.484, 0.000], [0.000, 0.000, 7.205]], "species": ["Y", "Y", "Y", "Y", "Ga", "Ga", "Cu", "Cu", "Cu", "Cu"], "frac_coords": [[0.000, 0.500, 0.250], [0.000, 0.500, 0.750], [0.500, 0.000, 0.250], [0.500, 0.000, 0.750], [0.000, 0.000, 0.000], [0.500, 0.500, 0.500], [0.000, 0.000, 0.345], [0.000, 0.000, 0.655], [0.500, 0.500, 0.155], [0.500, 0.500, 0.845]]}


# 20
{"formula": "KPd3O6", "functional": "PBE", "state": "relaxed", "lattice_angstrom": [[3.701, -5.412, 0.000], [3.701, 5.412, 0.000], [0.000, 0.000, 3.137]], "species": ["K", "Pd", "Pd", "Pd", "O", "O", "O", "O", "O", "O"], "frac_coords": [[0.000, 0.000, 0.000], [0.000, 0.500, 0.500], [0.500, 0.000, 0.500], [0.500, 0.500, 0.000], [0.171, 0.430, 0.000], [0.186, 0.814, 0.500], [0.430, 0.171, 0.000], [0.570, 0.829, 0.000], [0.814, 0.186, 0.500], [0.829, 0.570, 0.000]]}


no.,E_tot (eV/atom),calculated density (g/cm³)
1,-2.6079,7.19
2,-5.1382,4.93
3,-5.3330,5.17
4,-5.6155,9.65
5,-2.9071,4.66
6,-6.3825,8.03
7,-5.3464,6.60
8,-3.8112,5.17
9,-2.9100,4.65
10,-6.5283,5.21
11,-9.2950,6.76
12,-4.3612,2.95
13,-2.5097,2.54
14,-6.6833,2.72
15,-5.6643,5.48
16,-4.3271,6.61
17,-5.1566,7.37
18,-2.9455,10.33
19,-4.9887,5.74
20,-5.1632,6.00